Entry from the Alexandria database: Mg2BeTe after structural relaxation (PBE).

**E_form (uncorrected)**: 0.4 eV per formula unit
**Energy relative to the lowest polymorph listed for this composition**: 0.0944 eV/atom
**Crystal system**: monoclinic

```
data_Mg2BeTe
_chemical_formula_sum 'Mg4 Be2 Te2'
_cell_length_a 7.7610
_cell_length_b 3.9491
_cell_length_c 6.0858
_cell_angle_alpha 90.00
_cell_angle_beta 106.72
_cell_angle_gamma 90.00
_symmetry_space_group_name_H-M 'C 1 2/m 1'
_symmetry_Int_Tables_number 12
loop_
_symmetry_equiv_pos_as_xyz
'x,y,z'
'-x,-y,-z'
'-x,y,-z'
'x,-y,z'
'x+1/2,y+1/2,z'
'-x+1/2,-y+1/2,-z'
'-x+1/2,y+1/2,-z'
'x+1/2,-y+1/2,z'
loop_
_atom_site_label
_atom_site_fract_x
_atom_site_fract_y
_atom_site_fract_z
Mg1 0.2388 0.0000 0.1998
Be1 0.0000 0.5000 0.0000
Te1 0.0000 0.0000 0.5000
```



Entry from the Alexandria database: Ac3Pr4Er2 after structural relaxation (PBE).

**ΔH_f (0 K)**: 0.05 eV per atom
**Crystal system**: monoclinic

```
data_Ac3Pr4Er2
_chemical_formula_sum 'Ac6 Pr8 Er4'
_cell_length_a 11.9495
_cell_length_b 5.3425
_cell_length_c 11.2566
_cell_angle_alpha 90.00
_cell_angle_beta 108.93
_cell_angle_gamma 90.00
_symmetry_space_group_name_H-M 'C 1 2/m 1'
_symmetry_Int_Tables_number 12
loop_
_symmetry_equiv_pos_as_xyz
'x,y,z'
'-x,-y,-z'
'-x,y,-z'
'x,-y,z'
'x+1/2,y+1/2,z'
'-x+1/2,-y+1/2,-z'
'-x+1/2,y+1/2,-z'
'x+1/2,-y+1/2,z'
loop_
_atom_site_label
_atom_site_fract_x
_atom_site_fract_y
_atom_site_fract_z
Ac1 0.0000 0.0000 0.0000
Ac2 0.1691 0.5000 0.5583
Pr1 0.0051 0.0000 0.6718
Pr2 0.1677 0.5000 0.8913
Er1 0.1645 0.5000 0.2188
```



Entry from the Alexandria database: ZrTl2Pt after structural relaxation (PBE).

**ΔH_f (0 K)**: -0.13 eV per atom
**Energy relative to the lowest polymorph listed for this composition**: 0.1478 eV/atom
**Crystal system**: monoclinic

```
data_ZrTl2Pt
_chemical_formula_sum 'Zr2 Tl4 Pt2'
_cell_length_a 9.4224
_cell_length_b 3.6083
_cell_length_c 5.6502
_cell_angle_alpha 90.00
_cell_angle_beta 103.52
_cell_angle_gamma 90.00
_symmetry_space_group_name_H-M 'C 1 m 1'
_symmetry_Int_Tables_number 8
loop_
_symmetry_equiv_pos_as_xyz
'x,y,z'
'x,-y,z'
'x+1/2,y+1/2,z'
'x+1/2,-y+1/2,z'
loop_
_atom_site_label
_atom_site_fract_x
_atom_site_fract_y
_atom_site_fract_z
Zr1 0.0000 0.0000 0.0000
Tl1 0.0389 0.5000 0.5639
Tl2 0.2690 0.5000 0.2804
Pt1 0.2857 0.0000 0.8477
```



Entry from the Alexandria database: Nd2Th2N3 after structural relaxation (PBE).

**E_form (uncorrected)**: -7.2 eV per formula unit
**Crystal system**: monoclinic

```
data_Nd2Th2N3
_chemical_formula_sum 'Nd16 Th16 N24'
_cell_length_a 17.1507
_cell_length_b 10.5897
_cell_length_c 7.0141
_cell_angle_alpha 90.00
_cell_angle_beta 103.26
_cell_angle_gamma 90.00
_symmetry_space_group_name_H-M 'C 1 2/c 1'
_symmetry_Int_Tables_number 15
loop_
_symmetry_equiv_pos_as_xyz
'x,y,z'
'-x,-y,-z'
'-x,y,-z+1/2'
'x,-y,z+1/2'
'x+1/2,y+1/2,z'
'-x+1/2,-y+1/2,-z'
'-x+1/2,y+1/2,-z+1/2'
'x+1/2,-y+1/2,z+1/2'
loop_
_atom_site_label
_atom_site_fract_x
_atom_site_fract_y
_atom_site_fract_z
Nd1 0.0000 0.0930 0.2500
Nd2 0.0000 0.2280 0.7500
Nd3 0.1314 0.3826 0.1447
Th1 0.1749 0.2726 0.6384
Th2 0.1826 0.0450 0.0299
N1 0.0871 0.0797 0.6561
N2 0.1750 0.4422 0.8603
N3 0.1877 0.1734 0.3295
```



Entry from the Alexandria database: CaZn2Si2 after structural relaxation (PBE).

**E_form (uncorrected)**: -1.4 eV per formula unit
**Crystal system**: tetragonal

```
data_CaZn2Si2
_chemical_formula_sum 'Ca2 Zn4 Si4'
_cell_length_a 4.2413
_cell_length_b 4.2413
_cell_length_c 10.1932
_cell_angle_alpha 90.00
_cell_angle_beta 90.00
_cell_angle_gamma 90.00
_symmetry_space_group_name_H-M 'I 4/m m m'
_symmetry_Int_Tables_number 139
_symmetry_space_group_name_Hall '-I 4 2'
loop_
_atom_site_label
_atom_site_fract_x
_atom_site_fract_y
_atom_site_fract_z
Ca1 0.0000 0.0000 0.0000
Zn1 0.0000 0.5000 0.2500
Si1 0.0000 0.0000 0.3847
```



Entry from the Alexandria database: AlInAg2 after structural relaxation (PBE).

**ΔH_f (0 K)**: 0.05 eV per atom
**Crystal system**: tetragonal

```
data_AlInAg2
_chemical_formula_sum 'Al2 In2 Ag4'
_cell_length_a 4.2189
_cell_length_b 4.2189
_cell_length_c 8.5917
_cell_angle_alpha 90.00
_cell_angle_beta 90.00
_cell_angle_gamma 90.00
_symmetry_space_group_name_H-M 'I -4 m 2'
_symmetry_Int_Tables_number 119
_symmetry_space_group_name_Hall 'I -4 -2'
loop_
_atom_site_label
_atom_site_fract_x
_atom_site_fract_y
_atom_site_fract_z
Al1 0.0000 0.0000 0.0000
In1 0.0000 0.5000 0.2500
Ag1 0.0000 0.0000 0.5000
Ag2 0.0000 0.5000 0.7500
```



Entry from the Alexandria database: KCoCuCl6 after structural relaxation (PBE).

**E_form (uncorrected)**: -7.4 eV per formula unit
**Crystal system**: trigonal

```
data_KCoCuCl6
_chemical_formula_sum 'K1 Co1 Cu1 Cl6'
_cell_length_a 6.1857
_cell_length_b 6.1857
_cell_length_c 6.9881
_cell_angle_alpha 90.00
_cell_angle_beta 90.00
_cell_angle_gamma 120.00
_symmetry_space_group_name_H-M 'P 3 1 2'
_symmetry_Int_Tables_number 149
loop_
_symmetry_equiv_pos_as_xyz
'x,y,z'
'-y,x-y,z'
'-x+y,-x,z'
'-y,-x,-z'
'-x+y,y,-z'
'x,x-y,-z'
loop_
_atom_site_label
_atom_site_fract_x
_atom_site_fract_y
_atom_site_fract_z
K1 0.0000 0.0000 0.0000
Co1 0.6667 0.3333 0.5000
Cu1 0.3333 0.6667 0.5000
Cl1 0.3816 0.0230 0.6868
```



Entry from the Alexandria database: AcErGePt after structural relaxation (PBE).

**ΔH_f (0 K)**: -0.80 eV per atom
**Energy relative to the lowest polymorph listed for this composition**: 0.0348 eV/atom
**Crystal system**: cubic

```
data_AcErGePt
_chemical_formula_sum 'Ac4 Er4 Ge4 Pt4'
_cell_length_a 7.3894
_cell_length_b 7.3894
_cell_length_c 7.3894
_cell_angle_alpha 90.00
_cell_angle_beta 90.00
_cell_angle_gamma 90.00
_symmetry_space_group_name_H-M 'F -4 3 m'
_symmetry_Int_Tables_number 216
_symmetry_space_group_name_Hall 'F -4 2 3'
loop_
_atom_site_label
_atom_site_fract_x
_atom_site_fract_y
_atom_site_fract_z
Ac1 0.0000 0.0000 0.0000
Er1 0.0000 0.0000 0.5000
Ge1 0.2500 0.2500 0.7500
Pt1 0.2500 0.2500 0.2500
```



Entry from the Alexandria database: KPOsPt after structural relaxation (PBE).

**ΔH_f (0 K)**: -0.17 eV per atom
**Crystal system**: tetragonal

```
data_KPOsPt
_chemical_formula_sum 'K2 P2 Os2 Pt2'
_cell_length_a 3.8397
_cell_length_b 3.8397
_cell_length_c 12.3649
_cell_angle_alpha 90.00
_cell_angle_beta 90.00
_cell_angle_gamma 90.00
_symmetry_space_group_name_H-M 'P 4/n m m'
_symmetry_Int_Tables_number 129
loop_
_symmetry_equiv_pos_as_xyz
'x,y,z'
'-x,-y,-z'
'-y+1/2,x,z'
'y+1/2,-x,-z'
'-x+1/2,-y+1/2,z'
'x+1/2,y+1/2,-z'
'y,-x+1/2,z'
'-y,x+1/2,-z'
'x+1/2,-y,-z'
'-x+1/2,y,z'
'-y,-x,-z'
'y,x,z'
'-x,y+1/2,-z'
'x,-y+1/2,z'
'y+1/2,x+1/2,-z'
'-y+1/2,-x+1/2,z'
loop_
_atom_site_label
_atom_site_fract_x
_atom_site_fract_y
_atom_site_fract_z
K1 0.2500 0.2500 0.2240
P1 0.2500 0.2500 0.6100
Os1 0.2500 0.7500 0.5000
Pt1 0.2500 0.7500 0.0000
```



Entry from the Alexandria database: SnB2IrPb after structural relaxation (PBE).

**ΔH_f (0 K)**: 2.41 eV per atom
**Crystal system**: tetragonal

```
data_SnB2IrPb
_chemical_formula_sum 'Sn1 B2 Ir1 Pb1'
_cell_length_a 4.4356
_cell_length_b 4.4356
_cell_length_c 5.5723
_cell_angle_alpha 90.00
_cell_angle_beta 90.00
_cell_angle_gamma 90.00
_symmetry_space_group_name_H-M 'P 4/m m m'
_symmetry_Int_Tables_number 123
_symmetry_space_group_name_Hall '-P 4 2'
loop_
_atom_site_label
_atom_site_fract_x
_atom_site_fract_y
_atom_site_fract_z
Sn1 0.0000 0.0000 0.0000
B1 0.0000 0.5000 0.5000
Ir1 0.5000 0.5000 0.0000
Pb1 0.0000 0.0000 0.5000
```



Entry from the Alexandria database: Tb3SnPd5 after structural relaxation (PBE).

**ΔH_f (0 K)**: -0.59 eV per atom
**Crystal system**: tetragonal

```
data_Tb3SnPd5
_chemical_formula_sum 'Tb12 Sn4 Pd20'
_cell_length_a 8.1613
_cell_length_b 8.1613
_cell_length_c 11.6518
_cell_angle_alpha 90.00
_cell_angle_beta 90.00
_cell_angle_gamma 90.00
_symmetry_space_group_name_H-M 'I 4/m c m'
_symmetry_Int_Tables_number 140
_symmetry_space_group_name_Hall '-I 4 2c'
loop_
_atom_site_label
_atom_site_fract_x
_atom_site_fract_y
_atom_site_fract_z
Tb1 0.0000 0.0000 0.2500
Tb2 0.1277 0.3723 0.0000
Sn1 0.0000 0.5000 0.2500
Pd1 0.0000 0.0000 0.0000
Pd2 0.1952 0.3048 0.3620
```



Entry from the Alexandria database: LiPrZrRh after structural relaxation (PBE).

**ΔH_f (0 K)**: -0.20 eV per atom
**Crystal system**: cubic

```
data_LiPrZrRh
_chemical_formula_sum 'Li4 Pr4 Zr4 Rh4'
_cell_length_a 6.9323
_cell_length_b 6.9323
_cell_length_c 6.9323
_cell_angle_alpha 90.00
_cell_angle_beta 90.00
_cell_angle_gamma 90.00
_symmetry_space_group_name_H-M 'F -4 3 m'
_symmetry_Int_Tables_number 216
_symmetry_space_group_name_Hall 'F -4 2 3'
loop_
_atom_site_label
_atom_site_fract_x
_atom_site_fract_y
_atom_site_fract_z
Li1 0.0000 0.0000 0.0000
Pr1 0.2500 0.2500 0.2500
Zr1 0.2500 0.2500 0.7500
Rh1 0.0000 0.0000 0.5000
```



In the order shown, the computed N(E_F) values come out to 0.248, 1.717, 0.596, 0.476, 0.155, 0.357, 0.662, 0.262, 0.711, 0.709, 0.565, 0.728 states/eV/atom.